8
Lattice="-2.786 2.786 5.655 2.786 -2.786 5.655 2.786 2.786 -5.655" Properties=species:S:1:pos:R:3 comment="LiErSe2 | Alexandria via LeMat-Bulk | PBEsol | optimized geometry" dft_energy_ev_per_cell=-42.7 magmom_total_mub_per_cell=0.000 n_ef_per_ev_cell=0.00 crystal_system=tetragonal density_g_cm3=6.281 raw_formation_energy_mev_per_atom=-1689 pbc="T T T"
Li 2.786 1.393 1.414
Li 0.000 1.393 4.241
Er 2.786 -1.393 4.241
Er 0.000 4.180 1.414
Se 2.786 1.393 -1.447
Se 0.000 1.393 1.380
Se 2.786 1.393 4.274
Se 0.000 1.393 7.102